A plane-wave DFT calculation with GGA+U was carried out for Pa4VO10 after structural relaxation.

Unit cell a=3.8519 b=3.8519 c=46.6310 alpha=90.00 beta=90.00 gamma=120.00
Space group R-3m (No. 166, hexagonal axes)
Asymmetric unit:
Pa1 0.0000 0.0000 0.1030 x6
Pa2 0.0000 0.0000 0.2993 x6
V1 0.0000 0.0000 0.5000 x3
O1 0.0000 0.0000 0.0506 x6
O2 0.0000 0.0000 0.1475 x6
O3 0.0000 0.0000 0.2496 x6
O4 0.0000 0.0000 0.3504 x6
O5 0.0000 0.0000 0.4461 x6

## Properties
- Energy: -9.62 eV per atom
- Total magnetization: 14.5 μB per cell